The following is a DFT calculation (PBE+U) of a relaxed V2SiPbO8 crystal.

## Properties
The calculation puts the calculated total energy at -7.236 eV per atom.

a = 5.3763 Å, b = 5.3763 Å, c = 6.7562 Å
α = 90.00°, β = 90.00°, γ = 120.00°
Last column: nearest neighbours and their distance in Å.
Fractional positions:
V1 0.3333 0.6667 0.2342  4 O 1.68-1.76
V2 0.6667 0.3333 0.7658  4 O 1.68-1.76
Si1 0.0000 0.0000 0.0000  6 O 1.78
Pb1 0.0000 0.0000 0.5000  6 O 2.71
O1 0.1364 0.3055 0.1587  1 V 1.76, 1 Si 1.78
O2 0.1690 0.8636 0.1587  1 V 1.76, 1 Si 1.78
O3 0.3055 0.1690 0.8413  1 V 1.76, 1 Si 1.78
O4 0.3333 0.6667 0.4825  1 V 1.68
O5 0.6667 0.3333 0.5175  1 V 1.68
O6 0.6945 0.8310 0.1587  1 V 1.76, 1 Si 1.78
O7 0.8310 0.1364 0.8413  1 V 1.76, 1 Si 1.78
O8 0.8636 0.6945 0.8413  1 V 1.76, 1 Si 1.78